TlIrF2 | PBE | relaxed

Relative energy among the computed polymorphs in eV per atom: 0.337
Calculated density in Mg/m³: 10.173
Density of states at the Fermi level in states/eV per atom: 0.753
E_form (uncorrected) in eV/atom: -0.47

Lattice parameters (Å, degrees): 7.248 7.248 5.793 51.28 51.28 90.00
Fractional positions:
Tl (0.750, 0.250, 0.500)
Tl (0.000, 0.000, 0.000)
F (0.522, 0.125, 0.250)
F (0.228, 0.625, 0.250)
F (0.875, 0.772, 0.750)
F (0.375, 0.478, 0.750)
Ir (0.500, 0.500, 0.000)
Ir (0.250, 0.750, 0.500)